Er5ThTl4: optimized geometry, GGA-PBE.

Lattice parameters (Å, degrees): 3.533 3.533 22.028 90.00 90.00 90.00
Each line ends with the local moment (μB).
Sites, in units of the cell vectors:
Er1 0.500 0.500 0.110  -0.01
Er2 0.500 0.500 0.305  0.13
Er3 0.500 0.500 0.500  0.08
Er4 0.500 0.500 0.695  0.13
Er5 0.500 0.500 0.890  -0.01
Th1 0.000 0.000 0.000  -0.01
Tl1 0.000 0.000 0.208  0.00
Tl2 0.000 0.000 0.403  0.00
Tl3 0.000 0.000 0.597  0.00
Tl4 0.000 0.000 0.792  0.00

- Fermi-level density of states: 6.65 states/eV per cell
- Formation energy: -0.26 eV per atom
- Magnetization: 0.0388 μB per atom

Pm2ErSe4: optimized geometry, GGA-PBE.

Lattice parameters (Å, degrees): 3.993 7.198 14.032 90.00 90.00 106.10
Sites, in units of the cell vectors:
Pm1 0.130 0.260 0.429
Pm2 0.870 0.740 0.929
Pm3 0.130 0.260 0.071
Pm4 0.870 0.740 0.571
Er1 0.628 0.256 0.750
Er2 0.372 0.744 0.250
Se1 0.781 0.561 0.126
Se2 0.781 0.561 0.374
Se3 0.219 0.439 0.874
Se4 0.219 0.439 0.626
Se5 0.980 0.960 0.750
Se6 0.020 0.040 0.250
Se7 0.500 0.000 0.000
Se8 0.500 0.000 0.500

- Raw formation energy: -1815.0 meV/atom
- E above lowest polymorph: 47 meV/atom
- Fermi-level density of states: 4.26 states/eV per cell
- Magnetization: 0.0000 μB per atom

CeSmMgPb: optimized geometry, GGA-PBE.

Lattice parameters (Å, degrees): 5.476 5.476 5.476 60.00 60.00 60.00
Each line ends with the local moment (μB).
Sites, in units of the cell vectors:
Pb1 0.500 0.500 0.500  0.00
Mg1 0.000 0.000 0.000  0.01
Ce1 0.250 0.250 0.250  0.92
Sm1 0.750 0.750 0.750  0.08

- Fermi-level density of states: 9.75 states/eV per cell
- Formation energy: -0.23 eV per atom
- Magnetization: 0.3208 μB per atom

What is the Fermi-level density of states in the third record? 9.75 states/eV per cell

Which value of Fermi-level density of states does entry 2 give? 4.26 states/eV per cell

Which of these has the lowest magnetization? Pm2ErSe4